(1)
A plane-wave DFT calculation with PBE-GGA was carried out for a geometry-optimized Ce6TcOs2 structure.

Computed properties:
As for the theoretical density: 10.98 g/cm³. Its calculated volume is 399.2 Å³/cell. As for the uncorrected energy: -7.738 eV/atom. For the energy of formation, the calculation gives -0.13 eV per atom.

```
data_Ce6TcOs2
_chemical_formula_sum 'Ce12 Tc2 Os4'
_symmetry_space_group_name_H-M 'C 1 2/m 1'
_symmetry_Int_Tables_number 12
_cell_length_a 10.791
_cell_length_b 4.686
_cell_length_c 9.001
_cell_angle_alpha 90.00
_cell_angle_beta 118.71
_cell_angle_gamma 90.00
loop_
_symmetry_equiv_pos_as_xyz
'x,y,z'
'-x,-y,-z'
'-x,y,-z'
'x,-y,z'
'x+1/2,y+1/2,z'
'-x+1/2,-y+1/2,-z'
'-x+1/2,y+1/2,-z'
'x+1/2,-y+1/2,z'
loop_
_atom_site_label
_atom_site_fract_x
_atom_site_fract_y
_atom_site_fract_z
_atom_site_occupancy
Ce1 0.023 0.000 0.187 1
Ce2 0.164 0.500 0.505 1
Ce3 0.193 0.500 0.133 1
Tc1 0.000 0.000 0.500 1
Os1 0.118 0.500 0.786 1
```


(2)
A plane-wave DFT calculation with PBE-GGA was carried out for a geometry-optimized Hg2S6Cl structure.

Computed properties:
As for the theoretical density: 3.97 g/cm³. Its calculated volume is 263.4 Å³/cell. As for the uncorrected energy: -2.987 eV/atom. For the formation energy from raw total energies, the calculation gives 0.04 eV per atom.

```
data_Hg2S6Cl
_chemical_formula_sum 'Hg2 S6 Cl1'
_symmetry_space_group_name_H-M 'P -1'
_symmetry_Int_Tables_number 2
_cell_length_a 4.100
_cell_length_b 6.913
_cell_length_c 9.630
_cell_angle_alpha 83.11
_cell_angle_beta 79.35
_cell_angle_gamma 80.44
loop_
_symmetry_equiv_pos_as_xyz
'x,y,z'
'-x,-y,-z'
loop_
_atom_site_label
_atom_site_fract_x
_atom_site_fract_y
_atom_site_fract_z
_atom_site_occupancy
Hg1 0.120 0.347 0.311 1
S1 0.046 0.000 0.394 1
S2 0.191 0.688 0.979 1
S3 0.379 0.615 0.150 1
Cl1 0.500 0.500 0.500 1
```


(3)
A plane-wave DFT calculation with PBE-GGA was carried out for a geometry-optimized Li2MnSnN structure.

Computed properties:
As for the theoretical density: 5.06 g/cm³. Its calculated volume is 66.1 Å³/cell. As for the uncorrected energy: -5.387 eV/atom. For the formation energy from raw total energies, the calculation gives -0.32 eV per atom.

```
data_Li2MnSnN
_chemical_formula_sum 'Li2 Mn1 Sn1 N1'
_symmetry_space_group_name_H-M 'P 4/m m m'
_symmetry_Int_Tables_number 123
_symmetry_space_group_name_Hall '-P 4 2'
_cell_length_a 4.249
_cell_length_b 4.249
_cell_length_c 3.663
_cell_angle_alpha 90.00
_cell_angle_beta 90.00
_cell_angle_gamma 90.00
loop_
_atom_site_label
_atom_site_fract_x
_atom_site_fract_y
_atom_site_fract_z
_atom_site_occupancy
Li1 0.000 0.500 0.000 1
Mn1 0.000 0.000 0.500 1
Sn1 0.500 0.500 0.500 1
N1 0.000 0.000 0.000 1
```


(4)
A plane-wave DFT calculation with PBE-GGA was carried out for a geometry-optimized BaTa2Ru structure.

Computed properties:
As for the theoretical density: 12.13 g/cm³. Its calculated volume is 82.1 Å³/cell. As for the uncorrected energy: -7.702 eV/atom. For the energy of formation, the calculation gives 1.02 eV per atom.

```
data_BaTa2Ru
_chemical_formula_sum 'Ba1 Ta2 Ru1'
_symmetry_space_group_name_H-M 'P m m m'
_symmetry_Int_Tables_number 47
_cell_length_a 3.248
_cell_length_b 4.956
_cell_length_c 5.103
_cell_angle_alpha 90.00
_cell_angle_beta 90.00
_cell_angle_gamma 90.00
loop_
_symmetry_equiv_pos_as_xyz
'x,y,z'
'-x,-y,-z'
'-x,-y,z'
'x,y,-z'
'x,-y,-z'
'-x,y,z'
'-x,y,-z'
'x,-y,z'
loop_
_atom_site_label
_atom_site_fract_x
_atom_site_fract_y
_atom_site_fract_z
_atom_site_occupancy
Ba1 0.000 0.000 0.000 1
Ta1 0.000 0.500 0.500 1
Ta2 0.500 0.500 0.000 1
Ru1 0.500 0.000 0.500 1
```


(5)
A plane-wave DFT calculation with PBE-GGA was carried out for a geometry-optimized LiHoTc2O8 structure.

Computed properties:
As for the theoretical density: 4.37 g/cm³. Its calculated volume is 188.3 Å³/cell. As for the uncorrected energy: -7.430 eV/atom. For the formation energy from raw total energies, the calculation gives -1.86 eV per atom.

```
data_LiHoTc2O8
_chemical_formula_sum 'Li1 Ho1 Tc2 O8'
_symmetry_space_group_name_H-M 'P -3 m 1'
_symmetry_Int_Tables_number 164
_symmetry_space_group_name_Hall '-P 3 2"'
_cell_length_a 5.9174
_cell_length_b 5.9174
_cell_length_c 6.2093
_cell_angle_alpha 90.00
_cell_angle_beta 90.00
_cell_angle_gamma 120.00
loop_
_atom_site_label
_atom_site_fract_x
_atom_site_fract_y
_atom_site_fract_z
_atom_site_occupancy
Li1 0.0000 0.0000 0.0000 1
Ho1 0.0000 0.0000 0.5000 1
Tc1 0.3333 0.6667 0.8249 1
O1 0.1652 0.3304 0.7359 1
O2 0.3333 0.6667 0.1034 1
```


(6)
A plane-wave DFT calculation with PBE-GGA was carried out for a geometry-optimized Sr3Ca4Mg structure.

Computed properties:
As for the theoretical density: 1.99 g/cm³. Its calculated volume is 745.6 Å³/cell. As for the uncorrected energy: -1.719 eV/atom. For the energy of formation, the calculation gives 0.11 eV per atom.

```
data_Sr3Ca4Mg
_chemical_formula_sum 'Sr6 Ca8 Mg2'
_symmetry_space_group_name_H-M 'C 1 2/m 1'
_symmetry_Int_Tables_number 12
_cell_length_a 31.342
_cell_length_b 4.007
_cell_length_c 5.946
_cell_angle_alpha 90.00
_cell_angle_beta 93.08
_cell_angle_gamma 90.00
loop_
_symmetry_equiv_pos_as_xyz
'x,y,z'
'-x,-y,-z'
'-x,y,-z'
'x,-y,z'
'x+1/2,y+1/2,z'
'-x+1/2,-y+1/2,-z'
'-x+1/2,y+1/2,-z'
'x+1/2,-y+1/2,z'
loop_
_atom_site_label
_atom_site_fract_x
_atom_site_fract_y
_atom_site_fract_z
_atom_site_occupancy
Sr1 0.000 0.000 0.000 1
Sr2 0.153 0.000 0.223 1
Ca1 0.098 0.500 0.707 1
Ca2 0.220 0.500 0.742 1
Mg1 0.000 0.500 0.500 1
```


(7)
A plane-wave DFT calculation with PBE-GGA was carried out for a geometry-optimized Ca2NbTcRu structure.

Computed properties:
As for the theoretical density: 4.72 g/cm³. Its calculated volume is 131.0 Å³/cell. As for the uncorrected energy: -5.589 eV/atom. For the energy of formation, the calculation gives 1.15 eV per atom.

```
data_Ca2NbTcRu
_chemical_formula_sum 'Ca2 Nb1 Tc1 Ru1'
_symmetry_space_group_name_H-M 'P 4/m m m'
_symmetry_Int_Tables_number 123
_symmetry_space_group_name_Hall '-P 4 2'
_cell_length_a 5.312
_cell_length_b 5.312
_cell_length_c 4.643
_cell_angle_alpha 90.00
_cell_angle_beta 90.00
_cell_angle_gamma 90.00
loop_
_atom_site_label
_atom_site_fract_x
_atom_site_fract_y
_atom_site_fract_z
_atom_site_occupancy
Ca1 0.000 0.500 0.000 1
Nb1 0.000 0.000 0.500 1
Tc1 0.500 0.500 0.500 1
Ru1 0.500 0.500 0.000 1
```


(8)
A plane-wave DFT calculation with PBE-GGA was carried out for a geometry-optimized NbRu3Pb structure.

Computed properties:
As for the theoretical density: 8.98 g/cm³. Its calculated volume is 111.5 Å³/cell. As for the uncorrected energy: -6.123 eV/atom. For the energy of formation, the calculation gives 2.20 eV per atom.

```
data_NbRu3Pb
_chemical_formula_sum 'Nb1 Ru3 Pb1'
_symmetry_space_group_name_H-M 'P m -3 m'
_symmetry_Int_Tables_number 221
_symmetry_space_group_name_Hall '-P 4 2 3'
_cell_length_a 4.813
_cell_length_b 4.813
_cell_length_c 4.813
_cell_angle_alpha 90.00
_cell_angle_beta 90.00
_cell_angle_gamma 90.00
loop_
_atom_site_label
_atom_site_fract_x
_atom_site_fract_y
_atom_site_fract_z
_atom_site_occupancy
Nb1 0.000 0.000 0.000 1
Ru1 0.000 0.500 0.500 1
Pb1 0.500 0.500 0.500 1
```


(9)
A plane-wave DFT calculation with PBE-GGA was carried out for a geometry-optimized Ga2SnCl8 structure.

Computed properties:
As for the theoretical density: 2.42 g/cm³. Its calculated volume is 1489.0 Å³/cell. As for the uncorrected energy: -3.366 eV/atom. For the formation energy from raw total energies, the calculation gives -1.11 eV per atom.

```
data_Ga2SnCl8
_chemical_formula_sum 'Ga8 Sn4 Cl32'
_symmetry_space_group_name_H-M 'C 1 2/c 1'
_symmetry_Int_Tables_number 15
_cell_length_a 19.212
_cell_length_b 7.401
_cell_length_c 12.703
_cell_angle_alpha 90.00
_cell_angle_beta 124.48
_cell_angle_gamma 90.00
loop_
_symmetry_equiv_pos_as_xyz
'x,y,z'
'-x,-y,-z'
'-x,y,-z+1/2'
'x,-y,z+1/2'
'x+1/2,y+1/2,z'
'-x+1/2,-y+1/2,-z'
'-x+1/2,y+1/2,-z+1/2'
'x+1/2,-y+1/2,z+1/2'
loop_
_atom_site_label
_atom_site_fract_x
_atom_site_fract_y
_atom_site_fract_z
_atom_site_occupancy
Ga1 0.099 0.227 0.163 1
Sn1 0.000 0.430 0.750 1
Cl1 0.038 0.294 0.422 1
Cl2 0.122 0.239 0.013 1
Cl3 0.133 0.032 0.757 1
Cl4 0.159 0.460 0.298 1
```


(10)
A plane-wave DFT calculation with PBE-GGA was carried out for a geometry-optimized Cs2MnSbSe4 structure.

Computed properties:
As for the theoretical density: 3.93 g/cm³. Its calculated volume is 2562.4 Å³/cell. As for the uncorrected energy: -4.308 eV/atom. For the formation energy from raw total energies, the calculation gives -0.69 eV per atom.

```
data_Cs2MnSbSe4
_chemical_formula_sum 'Cs16 Mn8 Sb8 Se32'
_symmetry_space_group_name_H-M 'F d d d'
_symmetry_Int_Tables_number 70
_cell_length_a 6.779
_cell_length_b 14.827
_cell_length_c 25.493
_cell_angle_alpha 90.00
_cell_angle_beta 90.00
_cell_angle_gamma 90.00
loop_
_symmetry_equiv_pos_as_xyz
'x,y,z'
'-x,-y,-z'
'-x+1/4,-y+1/4,z'
'x+1/4,y+1/4,-z'
'x,-y+1/4,-z+1/4'
'-x,y+1/4,z+1/4'
'-x+1/4,y,-z+1/4'
'x+1/4,-y,z+1/4'
'x,y+1/2,z+1/2'
'-x,-y+1/2,-z+1/2'
'-x+1/4,-y+3/4,z+1/2'
'x+1/4,y+3/4,-z+1/2'
'x,-y+3/4,-z+3/4'
'-x,y+3/4,z+3/4'
'-x+1/4,y+1/2,-z+3/4'
'x+1/4,-y+1/2,z+3/4'
'x+1/2,y,z+1/2'
'-x+1/2,-y,-z+1/2'
'-x+3/4,-y+1/4,z+1/2'
'x+3/4,y+1/4,-z+1/2'
'x+1/2,-y+1/4,-z+3/4'
'-x+1/2,y+1/4,z+3/4'
'-x+3/4,y,-z+3/4'
'x+3/4,-y,z+3/4'
'x+1/2,y+1/2,z'
'-x+1/2,-y+1/2,-z'
'-x+3/4,-y+3/4,z'
'x+3/4,y+3/4,-z'
'x+1/2,-y+3/4,-z+1/4'
'-x+1/2,y+3/4,z+1/4'
'-x+3/4,y+1/2,-z+1/4'
'x+3/4,-y+1/2,z+1/4'
loop_
_atom_site_label
_atom_site_fract_x
_atom_site_fract_y
_atom_site_fract_z
_atom_site_occupancy
Cs1 0.125 0.125 0.304 1
Mn1 0.125 0.125 0.125 1
Sb1 0.125 0.125 0.625 1
Se1 0.110 0.279 0.427 1
```